(1)
Computed, not measured: crystalline HgAs2Os at its relaxed geometry at the PBE level of DFT.

Output
For the spin magnetization, the calculation gives 0.00 μB/f.u. The value obtained for the total energy is -4.394 eV per atom. As for the formation energy: 0.814 eV/atom.

Lattice parameters (Å, degrees): 4.6492 4.6492 3.3017 90.00 90.00 90.00
With the nearest neighbours (Å) after each atom.
Space group P4/mmm (No. 123)
Asymmetric unit:
Hg 0.0000 0.0000 0.0000 [1 per cell]  8 As 2.85
As 0.0000 0.5000 0.5000 [2 per cell]  4 Os 2.85, 4 Hg 2.85
Os 0.5000 0.5000 0.0000 [1 per cell]  8 As 2.85


(2)
Computed, not measured: crystalline HgAs2Os at its relaxed geometry at the PBE level of DFT.

Output
For the spin magnetization, the calculation gives 0.00 μB/f.u. The value obtained for the total energy is -5.042 eV per atom. As for the formation energy: 0.166 eV/atom.

Lattice parameters (Å, degrees): 3.0126 3.0386 18.8775 90.00 90.00 90.00
With the nearest neighbours (Å) after each atom.
Space group Imm2 (No. 44)
Asymmetric unit:
Hg 0.0000 0.0000 0.0000 [2 per cell]  4 Hg 3.01-3.04
As 0.0000 0.0000 0.3451 [2 per cell]  2 Os 2.48
As 0.0000 0.5000 0.1652 [2 per cell]  4 Os 2.57
Os 0.0000 0.5000 0.7408 [2 per cell]  6 As 2.48-2.57


(3)
Computed, not measured: crystalline HgAs2Os at its relaxed geometry at the PBE level of DFT.

Output
For the spin magnetization, the calculation gives 0.00 μB/f.u. The value obtained for the total energy is -5.054 eV per atom. As for the formation energy: 0.153 eV/atom.

Lattice parameters (Å, degrees): 3.0544 3.0544 29.7848 90.00 90.00 120.00
With the nearest neighbours (Å) after each atom.
Space group R-3m (No. 166, hexagonal axes)
Asymmetric unit:
Hg 0.0000 0.0000 0.0000 [3 per cell]  6 Hg 3.05
As 0.0000 0.0000 0.2296 [6 per cell]  3 Os 2.57
Os 0.0000 0.0000 0.5000 [3 per cell]  6 As 2.57


(4)
Computed, not measured: crystalline HgAs2Os at its relaxed geometry at the PBE level of DFT.

Output
For the spin magnetization, the calculation gives 0.00 μB/f.u. The value obtained for the total energy is -4.848 eV per atom. As for the formation energy: 0.360 eV/atom.

Lattice parameters (Å, degrees): 2.9674 5.1228 10.7192 90.00 90.00 90.00
With the nearest neighbours (Å) after each atom.
Space group Cmmm (No. 65)
Asymmetric unit:
Hg 0.0000 0.0000 0.0000 [2 per cell]  6 Hg 2.96-2.97
As 0.0000 0.5000 0.3083 [4 per cell]  2 Os 2.53
Os 0.0000 0.0000 0.5000 [2 per cell]  4 As 2.53


(5)
Computed, not measured: crystalline HgAs2Os at its relaxed geometry at the PBE level of DFT.

Output
For the spin magnetization, the calculation gives 0.00 μB/f.u. The value obtained for the total energy is -5.098 eV per atom. As for the formation energy: 0.110 eV/atom.

Lattice parameters (Å, degrees): 2.9790 2.9790 9.8168 90.00 90.00 90.00
With the nearest neighbours (Å) after each atom.
Space group P4/mmm (No. 123)
Asymmetric unit:
Hg 0.0000 0.0000 0.0000 [1 per cell]  4 Hg 2.98
As 0.5000 0.5000 0.3364 [2 per cell]  4 Os 2.65
Os 0.0000 0.0000 0.5000 [1 per cell]  8 As 2.65


(6)
Computed, not measured: crystalline HgAs2Os at its relaxed geometry at the PBE level of DFT.

Output
For the spin magnetization, the calculation gives 0.00 μB/f.u. The value obtained for the total energy is -4.340 eV per atom. As for the formation energy: 0.867 eV/atom.

Lattice parameters (Å, degrees): 3.2996 4.6031 4.7493 90.00 90.00 90.00
With the nearest neighbours (Å) after each atom.
Space group Pmmm (No. 47)
Asymmetric unit:
Hg 0.0000 0.0000 0.0000 [1 per cell]  4 Os 2.83, 4 As 2.89
As 0.0000 0.5000 0.5000 [1 per cell]  4 As 2.83, 4 Os 2.89
As 0.5000 0.0000 0.5000 [1 per cell]  4 As 2.83, 4 Hg 2.89
Os 0.5000 0.5000 0.0000 [1 per cell]  4 Hg 2.83, 4 As 2.89


(7)
Computed, not measured: crystalline Hg2AsOs at its relaxed geometry at the PBE level of DFT.

Output
For the spin magnetization, the calculation gives 0.08 μB/f.u. The value obtained for the total energy is -3.358 eV per atom. As for the formation energy: 0.762 eV/atom.

Lattice parameters (Å, degrees): 2.8725 5.1748 10.4598 90.00 90.00 90.00
With the nearest neighbours (Å) after each atom.
Space group Cmmm (No. 65)
Asymmetric unit:
Hg 0.0000 0.0000 0.2358 [4 per cell]  2 Os 2.85, 6 Hg 2.87-2.96, 2 As 3.11
As 0.0000 0.5000 0.5000 [2 per cell]  6 As 2.87-2.96, 4 Hg 3.11
Os 0.0000 0.5000 0.0000 [2 per cell]  4 Hg 2.85, 6 Os 2.87-2.96


(8)
Computed, not measured: crystalline HgAs2Os at its relaxed geometry at the PBE level of DFT.

Output
For the spin magnetization, the calculation gives 0.00 μB/f.u. The value obtained for the total energy is -4.443 eV per atom. As for the formation energy: 0.765 eV/atom.

Lattice parameters (Å, degrees): 5.7145 7.6081 3.3046 90.00 90.26 90.00
With the nearest neighbours (Å) after each atom.
Space group C2/m (No. 12)
Asymmetric unit:
Hg 0.0000 0.0000 0.0000 [2 per cell]  2 Os 2.86, 8 As 2.89-2.90
As 0.2500 0.2500 0.5000 [4 per cell]  2 As 2.86, 4 Hg 2.89-2.90, 4 Os 2.89-2.90
Os 0.0000 0.5000 0.0000 [2 per cell]  2 Hg 2.86, 8 As 2.89-2.90


Q: Which of these has the highest spin magnetization?
A: Hg2AsOs


Q: Look up the spin magnetization of the first one.
A: 0.00 μB/f.u.